# 1
Material: Er12CuAu6
Method: DFT, GGA-PBE
State: relaxed

Output
- spin magnetization (μB/atom) = 0.000
- Fermi-level density of states (states/eV/f.u.) = 20.00
- crystal system = trigonal
- calculated density (g/cm³) = 9.87
- total energy (eV for the cell shown) = -259.57
- DFT formation energy (eV/atom) = -0.4216

The structure in CIF format:
```
data_Er12CuAu6
_chemical_formula_sum 'Er36 Cu3 Au18'
_cell_length_a 12.6734
_cell_length_b 12.6734
_cell_length_c 11.7980
_cell_angle_alpha 90.00
_cell_angle_beta 90.00
_cell_angle_gamma 120.00
_symmetry_space_group_name_H-M 'R -3'
_symmetry_Int_Tables_number 148
_symmetry_space_group_name_Hall '-R 3'
loop_
_atom_site_label
_atom_site_type_symbol
_atom_site_fract_x
_atom_site_fract_y
_atom_site_fract_z
Er1 Er 0.0319 0.8153 0.3959
Er2 Er 0.0458 0.8401 0.8880
Cu1 Cu 0.0000 0.0000 0.0000
Au1 Au 0.0486 0.7819 0.6471
```

=====

# 2
Material: Er2CuAu
Method: DFT, GGA-PBE
State: relaxed

Output
- spin magnetization (μB/atom) = 0.000
- Fermi-level density of states (states/eV/f.u.) = 1.08
- crystal system = cubic
- calculated density (g/cm³) = 11.40
- total energy (eV for the cell shown) = -75.13
- DFT formation energy (eV/atom) = -0.5706

The structure in CIF format:
```
data_Er2CuAu
_chemical_formula_sum 'Er8 Cu4 Au4'
_cell_length_a 7.026
_cell_length_b 7.026
_cell_length_c 7.026
_cell_angle_alpha 90.00
_cell_angle_beta 90.00
_cell_angle_gamma 90.00
_symmetry_space_group_name_H-M 'F m -3 m'
_symmetry_Int_Tables_number 225
_symmetry_space_group_name_Hall '-F 4 2 3'
loop_
_atom_site_label
_atom_site_type_symbol
_atom_site_fract_x
_atom_site_fract_y
_atom_site_fract_z
Er1 Er 0.250 0.250 0.250
Cu1 Cu 0.000 0.000 0.000
Au1 Au 0.000 0.000 0.500
```

=====

# 3
Material: ErCu8Au3
Method: DFT, GGA-PBE
State: relaxed

Output
- spin magnetization (μB/atom) = 0.000
- Fermi-level density of states (states/eV/f.u.) = 5.93
- crystal system = trigonal
- calculated density (g/cm³) = 12.08
- total energy (eV for the cell shown) = -49.04
- DFT formation energy (eV/atom) = -0.1567

The structure in CIF format:
```
data_ErCu8Au3
_chemical_formula_sum 'Er1 Cu8 Au3'
_cell_length_a 4.9837
_cell_length_b 4.9837
_cell_length_c 8.0939
_cell_angle_alpha 90.00
_cell_angle_beta 90.00
_cell_angle_gamma 120.00
_symmetry_space_group_name_H-M 'P 3 m 1'
_symmetry_Int_Tables_number 156
_symmetry_space_group_name_Hall 'P 3 -2"'
loop_
_atom_site_label
_atom_site_type_symbol
_atom_site_fract_x
_atom_site_fract_y
_atom_site_fract_z
Er1 Er 0.0000 0.0000 0.0000
Cu1 Cu 0.1651 0.3302 0.6818
Cu2 Cu 0.3333 0.6667 0.4348
Cu3 Cu 0.3333 0.6667 0.9355
Cu4 Cu 0.5023 0.0047 0.1929
Au1 Au 0.0000 0.0000 0.3744
Au2 Au 0.6667 0.3333 0.5011
Au3 Au 0.6667 0.3333 0.8766
```

=====

# 4
Material: Er5Cu4Au
Method: DFT, GGA-PBE
State: relaxed

Output
- spin magnetization (μB/atom) = 0.000
- Fermi-level density of states (states/eV/f.u.) = 4.43
- crystal system = tetragonal
- calculated density (g/cm³) = 10.29
- total energy (eV for the cell shown) = -46.46
- DFT formation energy (eV/atom) = -0.3984

The structure in CIF format:
```
data_Er5Cu4Au
_chemical_formula_sum 'Er5 Cu4 Au1'
_cell_length_a 3.444
_cell_length_b 3.444
_cell_length_c 17.515
_cell_angle_alpha 90.00
_cell_angle_beta 90.00
_cell_angle_gamma 90.00
_symmetry_space_group_name_H-M 'P 4/m m m'
_symmetry_Int_Tables_number 123
_symmetry_space_group_name_Hall '-P 4 2'
loop_
_atom_site_label
_atom_site_type_symbol
_atom_site_fract_x
_atom_site_fract_y
_atom_site_fract_z
Er1 Er 0.000 0.000 0.000
Er2 Er 0.000 0.000 0.197
Er3 Er 0.000 0.000 0.394
Cu1 Cu 0.500 0.500 0.098
Cu2 Cu 0.500 0.500 0.295
Au1 Au 0.500 0.500 0.500
```

=====

# 5
Material: ErCu6Au
Method: DFT, GGA-PBE
State: relaxed

Output
- spin magnetization (μB/atom) = 0.000
- Fermi-level density of states (states/eV/f.u.) = 3.45
- crystal system = cubic
- calculated density (g/cm³) = 10.42
- total energy (eV for the cell shown) = -32.38
- DFT formation energy (eV/atom) = 0.0046

The structure in CIF format:
```
data_ErCu6Au
_chemical_formula_sum 'Er1 Cu6 Au1'
_cell_length_a 4.916
_cell_length_b 4.916
_cell_length_c 4.916
_cell_angle_alpha 90.00
_cell_angle_beta 90.00
_cell_angle_gamma 90.00
_symmetry_space_group_name_H-M 'P m -3'
_symmetry_Int_Tables_number 200
_symmetry_space_group_name_Hall '-P 2 2 3'
loop_
_atom_site_label
_atom_site_type_symbol
_atom_site_fract_x
_atom_site_fract_y
_atom_site_fract_z
Er1 Er 0.000 0.000 0.000
Cu1 Cu 0.000 0.500 0.256
Au1 Au 0.500 0.500 0.500
```

=====

# 6
Material: Er3Cu2Au4
Method: DFT, GGA-PBE
State: relaxed

Output
- spin magnetization (μB/atom) = 0.000
- Fermi-level density of states (states/eV/f.u.) = 5.16
- crystal system = monoclinic
- calculated density (g/cm³) = 12.79
- total energy (eV for the cell shown) = -160.51
- DFT formation energy (eV/atom) = -0.5709

The structure in CIF format:
```
data_Er3Cu2Au4
_chemical_formula_sum 'Er12 Cu8 Au16'
_cell_length_a 13.742
_cell_length_b 10.682
_cell_length_c 5.202
_cell_angle_alpha 90.00
_cell_angle_beta 105.43
_cell_angle_gamma 90.00
_symmetry_space_group_name_H-M 'C 1 2/c 1'
_symmetry_Int_Tables_number 15
_symmetry_space_group_name_Hall '-C 2yc'
loop_
_atom_site_label
_atom_site_type_symbol
_atom_site_fract_x
_atom_site_fract_y
_atom_site_fract_z
Er1 Er 0.000 0.119 0.250
Er2 Er 0.172 0.362 0.139
Cu1 Cu 0.094 0.136 0.803
Au1 Au 0.058 0.369 0.545
Au2 Au 0.215 0.092 0.278
```

=====

# 7
Material: Er6Cu5Au
Method: DFT, GGA-PBE
State: relaxed

Output
- spin magnetization (μB/atom) = 0.000
- Fermi-level density of states (states/eV/f.u.) = 5.14
- crystal system = monoclinic
- calculated density (g/cm³) = 10.13
- total energy (eV for the cell shown) = -55.71
- DFT formation energy (eV/atom) = -0.3808

The structure in CIF format:
```
data_Er6Cu5Au
_chemical_formula_sum 'Er6 Cu5 Au1'
_cell_length_a 4.908
_cell_length_b 6.882
_cell_length_c 7.766
_cell_angle_alpha 90.00
_cell_angle_beta 108.38
_cell_angle_gamma 90.00
_symmetry_space_group_name_H-M 'P 1 2/m 1'
_symmetry_Int_Tables_number 10
_symmetry_space_group_name_Hall '-P 2y'
loop_
_atom_site_label
_atom_site_type_symbol
_atom_site_fract_x
_atom_site_fract_y
_atom_site_fract_z
Er1 Er 0.000 0.245 0.000
Er2 Er 0.331 0.247 0.663
Cu1 Cu 0.165 0.000 0.329
Cu2 Cu 0.168 0.500 0.340
Cu3 Cu 0.500 0.000 0.000
Au1 Au 0.500 0.500 0.000
```

=====

# 8
Material: Er3CuAu
Method: DFT, GGA-PBE
State: relaxed

Output
- spin magnetization (μB/atom) = 0.000
- Fermi-level density of states (states/eV/f.u.) = 4.43
- crystal system = orthorhombic
- calculated density (g/cm³) = 10.00
- total energy (eV for the cell shown) = -45.70
- DFT formation energy (eV/atom) = -0.3579

The structure in CIF format:
```
data_Er3CuAu
_chemical_formula_sum 'Er6 Cu2 Au2'
_cell_length_a 3.835
_cell_length_b 7.077
_cell_length_c 9.323
_cell_angle_alpha 90.00
_cell_angle_beta 90.00
_cell_angle_gamma 90.00
_symmetry_space_group_name_H-M 'P m m n'
_symmetry_Int_Tables_number 59
loop_
_symmetry_equiv_pos_as_xyz
'x,y,z'
'-x,-y,-z'
'-x+1/2,-y+1/2,z'
'x+1/2,y+1/2,-z'
'x+1/2,-y,-z'
'-x+1/2,y,z'
'-x,y+1/2,-z'
'x,-y+1/2,z'
loop_
_atom_site_label
_atom_site_type_symbol
_atom_site_fract_x
_atom_site_fract_y
_atom_site_fract_z
Er1 Er 0.250 0.001 0.180
Er2 Er 0.250 0.250 0.562
Cu1 Cu 0.250 0.250 0.933
Au1 Au 0.250 0.750 0.668
```